Entry a
Computed, not measured: an optimized crystal structure of Ce6Ru5Rh at the PBE level of DFT.

a b c (Å): 7.126 6.851 6.468
angles (deg): 58.02 82.78 76.27
Positions (direct):
Ru: 0.000 0.288 0.424
Ru: 0.500 0.500 0.000
Ru: 0.500 0.131 0.739
Ce: 0.276 0.903 0.658
Rh: 0.000 0.000 0.000
Ru: 0.000 0.712 0.576
Ce: 0.276 0.561 0.342
Ce: 0.724 0.097 0.342
Ce: 0.724 0.439 0.658
Ce: 0.212 0.272 0.000
Ru: 0.500 0.869 0.261
Ce: 0.788 0.728 0.000

Results
The spin magnetization comes out at 0.00 μB/f.u. The density comes out at 9.25 g/cm3. As for the space group: C2/m.

Entry b
Computed, not measured: an optimized crystal structure of Ce6Ru5Rh at the PBE level of DFT.

a b c (Å): 4.615 6.975 8.164
angles (deg): 90.00 106.28 90.00
Positions (direct):
Ce: 0.833 0.251 0.665
Ce: 0.833 0.749 0.665
Ce: 0.167 0.749 0.335
Ru: 0.569 0.000 0.321
Ru: 0.257 0.500 0.689
Ce: 0.500 0.253 0.000
Ru: 0.000 0.500 0.000
Ru: 0.743 0.500 0.311
Rh: 0.000 0.000 0.000
Ce: 0.500 0.747 0.000
Ce: 0.167 0.251 0.335
Ru: 0.431 0.000 0.679

Results
The spin magnetization comes out at 0.00 μB/f.u. The density comes out at 9.54 g/cm3. As for the space group: P2/m.

Name the most stable of them. entry b.

Entry a
Computed, not measured: an optimized crystal structure of Ce6RuRh5 at the PBE level of DFT.

a b c (Å): 6.932 6.934 6.929
angles (deg): 59.98 80.42 70.57
Positions (direct):
Ce: 0.247 0.589 0.329
Rh: 0.000 0.666 0.668
Ce: 0.247 0.918 0.671
Ce: 0.250 0.245 0.000
Rh: 0.000 0.334 0.332
Ce: 0.753 0.411 0.671
Ru: 0.000 0.000 0.000
Ce: 0.753 0.082 0.329
Rh: 0.500 0.829 0.342
Ce: 0.750 0.755 0.000
Rh: 0.500 0.500 0.000
Rh: 0.500 0.171 0.658

Results
The spin magnetization comes out at 0.00 μB/f.u. The density comes out at 8.89 g/cm3. As for the space group: C2/m.

Entry b
Computed, not measured: an optimized crystal structure of Ce6RuRh5 at the PBE level of DFT.

a b c (Å): 4.867 6.964 8.557
angles (deg): 65.99 73.60 90.00
Last column: magnetic moment on the atom in μB.
Positions (direct):
Ce: 0.164 0.414 0.674  0.41
Ce: 0.836 0.088 0.326  0.41
Ce: 0.500 0.248 0.000  0.48
Rh: 0.319 0.321 0.358  -0.07
Rh: 0.000 0.500 0.000  -0.08
Ce: 0.836 0.586 0.326  0.41
Rh: 0.328 0.830 0.339  -0.07
Rh: 0.672 0.170 0.661  -0.07
Ce: 0.164 0.912 0.674  0.41
Ru: 0.000 0.000 0.000  -0.14
Rh: 0.681 0.679 0.642  -0.07
Ce: 0.500 0.752 0.000  0.48

Results
The spin magnetization comes out at 2.68 μB/f.u. The density comes out at 9.60 g/cm3. As for the space group: C2/m.

Name the most stable of them. entry a.

Entry a
Computed, not measured: an optimized crystal structure of CeRhS at the PBE level of DFT.

a b c (Å): 4.627 4.627 8.675
angles (deg): 74.53 74.53 60.00
Last column: magnetic moment on the atom in μB.
Positions (direct):
Ce: 0.760 0.760 0.719  0.22
S: 0.876 0.876 0.371  -0.01
Rh: 0.332 0.332 0.003  -0.04
Rh: 0.668 0.668 0.997  -0.04
S: 0.124 0.124 0.629  -0.01
Ce: 0.240 0.240 0.281  0.22

Results
The spin magnetization comes out at 0.18 μB/f.u. The density comes out at 5.97 g/cm3. As for the space group: R-3m.

Entry b
Computed, not measured: an optimized crystal structure of CeRhS at the PBE level of DFT.

a b c (Å): 3.711 4.179 4.179
angles (deg): 120.00 90.00 90.00
Last column: magnetic moment on the atom in μB.
Positions (direct):
Ce: 0.667 0.667 0.333  0.35
S: 0.166 0.333 0.667  -0.01
Rh: 0.167 0.000 0.000  -0.04

Results
The spin magnetization comes out at 0.38 μB/f.u. The density comes out at 8.14 g/cm3. As for the space group: P3m1.

Name the most stable of them. entry b.

Entry a
Computed, not measured: an optimized crystal structure of Ce2SbRh3 at the PBE level of DFT.

a b c (Å): 6.316 6.316 7.802
angles (deg): 108.25 108.25 103.07
Positions (direct):
Rh: 0.824 0.376 0.200
Ce: 0.717 0.717 0.000
Rh: 0.624 0.176 0.800
Ce: 0.283 0.283 0.000
Rh: 0.176 0.624 0.800
Sb: 0.705 0.705 0.410
Rh: 0.102 0.102 0.204
Rh: 0.376 0.824 0.200
Ce: 0.750 0.250 0.500
Rh: 0.898 0.898 0.796
Sb: 0.295 0.295 0.590
Ce: 0.250 0.750 0.500

Results
The spin magnetization comes out at 0.00 μB/f.u. The density comes out at 9.01 g/cm3. As for the space group: Fmmm.

Entry b
Computed, not measured: an optimized crystal structure of Ce2SbRh3 at the PBE level of DFT.

a b c (Å): 5.308 5.308 5.308
angles (deg): 64.74 64.74 64.74
Last column: magnetic moment on the atom in μB.
Positions (direct):
Ce: 0.617 0.617 0.617  0.30
Sb: 0.000 0.000 0.000  0.00
Rh: 0.000 0.500 0.000  -0.03
Ce: 0.383 0.383 0.383  0.30
Rh: 0.500 0.000 0.000  -0.03
Rh: 0.000 0.000 0.500  -0.03

Results
The spin magnetization comes out at 0.60 μB/f.u. The density comes out at 10.11 g/cm3. As for the space group: R-3m.

Name the most stable of them. entry b.

Entry a
Computed, not measured: an optimized crystal structure of CeSbRh3 at the PBE level of DFT.

a b c (Å): 5.673 8.649 6.470
angles (deg): 131.94 116.00 90.00
Last column: magnetic moment on the atom in μB.
Positions (direct):
Rh: 0.750 0.029 0.500  -0.01
Rh: 0.815 0.315 0.131  -0.01
Rh: 0.185 0.685 0.869  -0.01
Rh: 0.685 0.685 0.869  -0.01
Rh: 0.315 0.315 0.131  -0.01
Rh: 0.250 0.971 0.500  -0.01
Ce: 0.250 0.259 0.500  0.10
Ce: 0.750 0.741 0.500  0.10
Sb: 0.500 0.000 0.000  0.00
Sb: 0.000 0.500 0.000  0.00

Results
The spin magnetization comes out at 0.10 μB/f.u. The density comes out at 9.93 g/cm3. As for the space group: Imma.

Entry b
Computed, not measured: an optimized crystal structure of CeSbRh3 at the PBE level of DFT.

a b c (Å): 5.121 5.778 6.978
angles (deg): 114.46 90.00 90.00
Last column: magnetic moment on the atom in μB.
Positions (direct):
Rh: 0.750 0.609 0.688  -0.04
Sb: 0.250 0.817 0.633  0.00
Rh: 0.000 0.000 0.000  -0.03
Rh: 0.750 0.080 0.688  -0.04
Rh: 0.500 0.000 0.000  -0.03
Rh: 0.250 0.391 0.312  -0.04
Ce: 0.750 0.581 0.162  0.41
Rh: 0.250 0.920 0.312  -0.04
Ce: 0.250 0.419 0.838  0.41
Sb: 0.750 0.183 0.367  0.00

Results
The spin magnetization comes out at 0.34 μB/f.u. The density comes out at 10.08 g/cm3. As for the space group: Cmcm.

Name the most stable of them. entry a.

Entry a
Computed, not measured: an optimized crystal structure of CeSb2Rh4 at the PBE level of DFT.

a b c (Å): 4.155 7.966 7.966
angles (deg): 90.00 90.00 90.00
Last column: magnetic moment on the atom in μB.
Positions (direct):
Rh: 0.000 0.911 0.648  0.03
Rh: 0.500 0.852 0.411  0.03
Sb: 0.500 0.720 0.720  0.00
Rh: 0.500 0.411 0.852  0.03
Ce: 0.000 0.500 0.500  0.51
Rh: 0.500 0.148 0.589  0.03
Rh: 0.500 0.589 0.148  0.03
Ce: 0.500 0.000 0.000  0.51
Rh: 0.000 0.089 0.352  0.03
Rh: 0.000 0.648 0.911  0.03
Sb: 0.000 0.780 0.220  0.00
Sb: 0.000 0.220 0.780  0.00
Sb: 0.500 0.280 0.280  0.00
Rh: 0.000 0.352 0.089  0.03

Results
The spin magnetization comes out at 0.71 μB/f.u. The density comes out at 10.02 g/cm3. As for the space group: P4_2/mnm.

Entry b
Computed, not measured: an optimized crystal structure of CeSb2Rh4 at the PBE level of DFT.

a b c (Å): 4.328 7.391 16.590
angles (deg): 90.00 90.00 90.00
Positions (direct):
Rh: 0.250 0.440 0.444
Rh: 0.750 0.598 0.958
Ce: 0.750 0.544 0.147
Sb: 0.750 0.255 0.476
Sb: 0.250 0.905 0.802
Rh: 0.750 0.902 0.458
Rh: 0.750 0.560 0.556
Sb: 0.250 0.745 0.524
Ce: 0.750 0.956 0.647
Rh: 0.750 0.940 0.056
Rh: 0.750 0.797 0.288
Rh: 0.250 0.627 0.678
Rh: 0.250 0.098 0.542
Ce: 0.250 0.044 0.353
Sb: 0.750 0.405 0.698
Sb: 0.250 0.595 0.302
Rh: 0.250 0.297 0.212
Rh: 0.250 0.402 0.042
Sb: 0.250 0.755 0.024
Rh: 0.250 0.873 0.178
Ce: 0.250 0.456 0.853
Sb: 0.750 0.095 0.198
Rh: 0.750 0.703 0.788
Rh: 0.250 0.203 0.712
Sb: 0.750 0.245 0.976
Rh: 0.250 0.060 0.944
Rh: 0.750 0.373 0.322
Rh: 0.750 0.127 0.822

Results
The spin magnetization comes out at 0.00 μB/f.u. The density comes out at 9.95 g/cm3. As for the space group: Pnma.

Name the most stable of them. entry b.

Entry a
Computed, not measured: an optimized crystal structure of Ce2ScRh at the PBE level of DFT.

a b c (Å): 3.689 3.689 7.086
angles (deg): 90.00 90.00 90.00
Last column: magnetic moment on the atom in μB.
Positions (direct):
Ce: 0.000 0.000 0.206  0.29
Sc: 0.500 0.500 0.500  0.09
Rh: 0.500 0.500 0.000  -0.03
Ce: 0.000 0.000 0.794  0.29

Results
The spin magnetization comes out at 0.80 μB/f.u. The density comes out at 7.37 g/cm3. As for the space group: P4/mmm.

Entry b
Computed, not measured: an optimized crystal structure of Ce2ScRh at the PBE level of DFT.

a b c (Å): 3.130 3.130 10.720
angles (deg): 81.60 81.60 60.00
Positions (direct):
Sc: 0.000 0.000 0.000
Ce: 0.094 0.094 0.717
Rh: 0.500 0.500 0.500
Ce: 0.906 0.906 0.283

Results
The spin magnetization comes out at 0.00 μB/f.u. The density comes out at 7.93 g/cm3. As for the space group: R-3m.

Name the most stable of them. entry a.

Entry a
Computed, not measured: an optimized crystal structure of CeScRh4 at the PBE level of DFT.

a b c (Å): 5.291 5.291 5.291
angles (deg): 60.00 60.00 60.00
Positions (direct):
Sc: 0.000 0.000 0.000
Rh: 0.123 0.626 0.626
Rh: 0.626 0.626 0.626
Rh: 0.626 0.626 0.123
Rh: 0.626 0.123 0.626
Ce: 0.250 0.250 0.250

Results
The spin magnetization comes out at 0.00 μB/f.u. The density comes out at 9.46 g/cm3. As for the space group: F-43m.

Entry b
Computed, not measured: an optimized crystal structure of CeScRh4 at the PBE level of DFT.

a b c (Å): 3.681 5.054 6.681
angles (deg): 104.91 74.01 68.64
Positions (direct):
Rh: 0.314 0.024 0.349
Rh: 0.686 0.976 0.651
Ce: 0.000 0.000 0.000
Rh: 0.153 0.512 0.181
Sc: 0.500 0.500 0.500
Rh: 0.847 0.488 0.819

Results
The spin magnetization comes out at 0.00 μB/f.u. The density comes out at 9.71 g/cm3. As for the space group: C2/m.

Name the most stable of them. entry a.

Entry a
Computed, not measured: an optimized crystal structure of Ce2RhSe at the PBE level of DFT.

a b c (Å): 3.988 3.988 7.780
angles (deg): 75.15 75.15 60.00
Last column: magnetic moment on the atom in μB.
Positions (direct):
Rh: 0.668 0.668 0.995  -0.08
Ce: 0.258 0.258 0.225  0.75
Ce: 0.074 0.074 0.777  0.60
Se: 0.499 0.499 0.503  -0.02

Results
The spin magnetization comes out at 1.56 μB/f.u. The density comes out at 7.50 g/cm3. As for the space group: R3m.

Entry b
Computed, not measured: an optimized crystal structure of Ce2RhSe at the PBE level of DFT.

a b c (Å): 4.024 4.024 7.576
angles (deg): 74.60 74.60 60.00
Last column: magnetic moment on the atom in μB.
Positions (direct):
Rh: 0.000 0.000 0.000  -0.08
Ce: 0.257 0.257 0.229  0.66
Se: 0.500 0.500 0.500  -0.02
Ce: 0.743 0.743 0.771  0.66

Results
The spin magnetization comes out at 1.54 μB/f.u. The density comes out at 7.59 g/cm3. As for the space group: R-3m.

Name the most stable of them. entry b.

Entry a
Computed, not measured: an optimized crystal structure of CeRhSe at the PBE level of DFT.

a b c (Å): 4.557 4.557 4.557
angles (deg): 60.00 60.00 60.00
Last column: magnetic moment on the atom in μB.
Positions (direct):
Rh: 0.250 0.250 0.250  -0.01
Ce: 0.000 0.000 0.000  0.83
Se: 0.500 0.500 0.500  0.00

Results
The spin magnetization comes out at 0.98 μB/f.u. The density comes out at 7.99 g/cm3. As for the space group: F-43m.

Entry b
Computed, not measured: an optimized crystal structure of CeRhSe at the PBE level of DFT.

a b c (Å): 3.769 4.340 4.340
angles (deg): 120.00 90.00 90.00
Last column: magnetic moment on the atom in μB.
Positions (direct):
Rh: 0.168 0.333 0.667  -0.07
Ce: 0.666 0.667 0.333  0.68
Se: 0.166 0.000 0.000  -0.01

Results
The spin magnetization comes out at 0.77 μB/f.u. The density comes out at 8.70 g/cm3. As for the space group: P3m1.

Entry c
Computed, not measured: an optimized crystal structure of CeRhSe at the PBE level of DFT.

a b c (Å): 3.796 3.796 5.214
angles (deg): 111.35 111.35 90.00
Last column: magnetic moment on the atom in μB.
Positions (direct):
Se: 0.632 0.632 0.264  0.02
Rh: 0.923 0.923 0.847  0.03
Ce: 0.294 0.294 0.589  0.58

Results
The spin magnetization comes out at 0.81 μB/f.u. The density comes out at 8.30 g/cm3. As for the space group: I4mm.

Entry d
Computed, not measured: an optimized crystal structure of CeRhSe at the PBE level of DFT.

a b c (Å): 3.823 3.823 10.488
angles (deg): 100.50 100.50 90.00
Last column: magnetic moment on the atom in μB.
Positions (direct):
Rh: 0.722 0.722 0.443  -0.07
Se: 0.590 0.590 0.179  -0.01
Se: 0.410 0.410 0.821  -0.01
Ce: 0.147 0.147 0.294  0.24
Rh: 0.278 0.278 0.557  -0.07
Ce: 0.853 0.853 0.706  0.24

Results
The spin magnetization comes out at 0.20 μB/f.u. The density comes out at 7.22 g/cm3. As for the space group: I4/mmm.

Name the most stable of them. entry b.

Entry a
Computed, not measured: an optimized crystal structure of Ce3Si4Rh2 at the PBE level of DFT.

a b c (Å): 4.124 5.944 8.143
angles (deg): 109.00 90.00 110.30
Last column: magnetic moment on the atom in μB.
Positions (direct):
Ce: 0.000 0.000 0.000  0.33
Ce: 0.608 0.215 0.683  0.01
Rh: 0.302 0.605 0.644  0.00
Si: 0.898 0.796 0.608  0.00
Ce: 0.392 0.785 0.317  0.01
Rh: 0.698 0.395 0.356  0.00
Si: 0.722 0.444 0.070  0.00
Si: 0.278 0.556 0.930  0.00
Si: 0.102 0.204 0.392  0.00

Results
The spin magnetization comes out at 0.38 μB/f.u. The density comes out at 6.98 g/cm3. As for the space group: C2/m.

Entry b
Computed, not measured: an optimized crystal structure of Ce3Si4Rh2 at the PBE level of DFT.

a b c (Å): 4.154 5.837 8.148
angles (deg): 102.91 90.00 110.84
Positions (direct):
Si: 0.046 0.093 0.383
Rh: 0.393 0.787 0.725
Rh: 0.607 0.213 0.275
Si: 0.276 0.551 0.940
Si: 0.954 0.907 0.617
Ce: 0.330 0.660 0.340
Ce: 0.000 0.000 0.000
Si: 0.724 0.449 0.060
Ce: 0.670 0.340 0.660

Results
The spin magnetization comes out at 0.00 μB/f.u. The density comes out at 6.84 g/cm3. As for the space group: C2/m.

Name the most stable of them. entry b.